Record 1
Material: Pr2NdNpP4
Method: DFT, PBE
State: optimized geometry

```
8
Lattice="4.123 0.000 0.000 0.000 7.151 0.134 0.000 -2.490 6.708" Properties=species:S:1:pos:R:3 pbc="T T T"
Pr 2.061 -1.245 3.354
Pr 0.000 2.330 3.421
Nd 0.000 0.000 0.000
Np 2.061 3.575 0.067
P 2.061 1.237 1.647
P 2.061 3.423 5.195
P 0.000 -0.025 5.162
P 0.000 4.685 1.680
```

Symmetry: P2/m

Record 2
Material: NdPu2NpP4
Method: DFT, PBE
State: optimized geometry

```
8
Lattice="5.705 0.003 0.000 -0.003 5.705 0.000 -2.851 -2.854 5.704" Properties=species:S:1:pos:R:3 pbc="T T T"
Nd 2.851 2.854 0.000
Pu -0.001 2.853 2.852
Pu 0.000 0.000 0.000
Np 2.853 0.001 2.852
P 2.853 0.001 5.674
P 2.853 0.001 0.029
P 2.851 2.854 2.923
P 0.000 0.000 2.781
```

Symmetry: I-4m2

Record 3
Material: Nd2NpP3Rh12
Method: DFT, PBE
State: optimized geometry

```
18
Lattice="7.445 -0.397 -0.282 3.331 6.670 -0.282 3.331 1.939 6.388" Properties=species:S:1:pos:R:3 pbc="T T T"
Nd 8.459 4.924 3.492
Nd 5.649 3.288 2.332
Np 0.000 0.000 0.000
P 3.722 -0.198 -0.141
P 1.666 3.335 -0.141
P 1.666 0.970 3.194
Rh 6.653 3.872 5.612
Rh 10.583 6.160 1.928
Rh 8.580 7.298 5.176
Rh 9.004 2.537 1.799
Rh 10.583 3.856 5.176
Rh 6.653 6.577 1.799
Rh 7.455 4.339 0.213
Rh 3.525 2.052 3.896
Rh 5.528 0.914 0.648
Rh 5.104 5.675 4.025
Rh 3.525 4.355 0.648
Rh 7.455 1.635 4.025
```

Symmetry: R-3m

Record 4
Material: Nd2NpP3Rh4
Method: DFT, PBE
State: optimized geometry

```
10
Lattice="4.062 0.000 0.000 0.000 4.062 0.000 0.000 0.000 11.039" Properties=species:S:1:pos:R:3 pbc="T T T"
Nd 2.031 0.000 2.473
Nd 0.000 2.031 8.565
Np 2.031 2.031 5.519
P 0.000 0.000 5.519
P 2.031 0.000 9.652
P 0.000 2.031 1.387
Rh 2.031 2.031 0.000
Rh 0.000 0.000 0.000
Rh 2.031 0.000 7.288
Rh 0.000 2.031 3.750
```

Symmetry: P-4m2

Record 5
Material: Nd2SmNpP4
Method: DFT, PBE
State: optimized geometry

```
8
Lattice="4.089 0.000 0.000 0.000 7.089 0.132 0.000 -2.470 6.653" Properties=species:S:1:pos:R:3 pbc="T T T"
Nd 2.045 -1.235 3.327
Nd 0.000 2.310 3.393
Sm 0.000 0.000 0.000
Np 2.045 3.545 0.066
P 2.045 1.212 1.633
P 2.045 3.407 5.153
P 0.000 -0.038 5.111
P 0.000 4.657 1.674
```

Symmetry: P2/m

Record 6
Material: NdSm2NpP4
Method: DFT, PBE
State: optimized geometry

```
8
Lattice="4.076 0.000 0.000 0.000 7.072 0.133 0.000 -2.462 6.624" Properties=species:S:1:pos:R:3 pbc="T T T"
Nd 0.000 0.000 0.000
Sm 2.038 -1.231 3.312
Sm 0.000 2.305 3.379
Np 2.038 3.536 0.066
P 2.038 1.220 1.667
P 2.038 3.390 5.090
P 0.000 -0.025 5.054
P 0.000 4.635 1.703
```

Symmetry: P2/m

Record 7
Material: Sr2NdNpP4
Method: DFT, PBE
State: optimized geometry

```
8
Lattice="4.197 0.000 0.000 0.000 7.230 0.131 0.000 -2.522 6.905" Properties=species:S:1:pos:R:3 pbc="T T T"
Sr 2.099 -1.261 3.453
Sr 0.000 2.354 3.518
Nd 0.000 0.000 0.000
Np 2.099 3.615 0.066
P 2.099 1.326 1.548
P 2.099 3.382 5.488
P 0.000 0.016 5.472
P 0.000 4.692 1.564
```

Symmetry: P2/m

Record 8
Material: Tb2NdNpP4
Method: DFT, PBE
State: optimized geometry

```
8
Lattice="4.037 0.000 0.000 0.000 7.008 0.132 0.000 -2.440 6.555" Properties=species:S:1:pos:R:3 pbc="T T T"
Tb 2.019 -1.220 3.278
Tb 0.000 2.284 3.344
Nd 2.019 3.504 0.066
Np 0.000 0.000 0.000
P 2.019 1.090 1.656
P 2.019 3.478 5.032
P 0.000 -0.142 4.936
P 0.000 4.710 1.751
```

Symmetry: P2/m

Record 9
Material: Nd2TmNpP4
Method: DFT, PBE
State: optimized geometry

```
8
Lattice="4.050 0.000 0.000 0.000 7.005 0.127 0.000 -2.444 6.596" Properties=species:S:1:pos:R:3 pbc="T T T"
Nd 2.025 -1.222 3.298
Nd 0.000 2.281 3.361
Tm 2.025 3.503 0.063
Np 0.000 0.000 0.000
P 2.025 1.131 1.571
P 2.025 3.431 5.152
P 0.000 -0.104 5.085
P 0.000 4.665 1.638
```

Symmetry: P2/m

Record 10
Material: NdTm2NpP4
Method: DFT, PBE
State: optimized geometry

```
8
Lattice="-2.712 -1.051 -2.745 4.803 0.615 -4.980 0.040 -6.476 2.439" Properties=species:S:1:pos:R:3 pbc="T T T"
Nd 1.045 -0.218 -3.862
Tm -1.336 -3.763 -0.153
Tm 2.421 -2.930 -1.270
Np 0.000 0.000 0.000
P -0.174 -2.016 -1.970
P 2.304 -4.896 -3.316
P 1.176 -4.663 0.622
P 3.666 -1.198 -3.163
```

Symmetry: P2/m

Record 11
Material: Nd2NpUP4
Method: DFT, PBE
State: optimized geometry

```
8
Lattice="-0.296 -1.523 3.723 3.226 -5.813 -2.122 4.833 4.645 2.286" Properties=species:S:1:pos:R:3 pbc="T T T"
Nd 2.269 1.561 3.004
Nd 4.029 -0.584 0.082
Np 1.465 -3.668 0.800
U 0.000 0.000 0.000
P 1.758 -1.090 1.879
P 6.005 -1.601 2.008
P 4.531 2.089 1.215
P 3.528 -3.256 -1.052
```

Symmetry: P2/m

Record 12
Material: NdNpU2P4
Method: DFT, PBE
State: optimized geometry

```
8
Lattice="5.655 0.003 0.000 -0.003 5.655 0.000 -2.826 -2.829 5.658" Properties=species:S:1:pos:R:3 pbc="T T T"
Nd 2.826 2.829 0.000
Np 2.827 0.001 2.829
U -0.001 2.827 2.829
U 0.000 0.000 0.000
P -0.001 2.827 0.015
P -0.001 2.827 5.643
P 2.826 2.829 2.910
P 0.000 0.000 2.748
```

Symmetry: I-4m2

Number 1: raw total energy -59.7 eV/f.u., magnetic moment 3.62 μB/cell, calculated formation energy -1.343 eV/atom. Number 2: raw total energy -77.3 eV/f.u., magnetic moment 13.79 μB/cell, calculated formation energy -1.163 eV/atom. Number 3: raw total energy -132.5 eV/f.u., magnetic moment 0.80 μB/cell, calculated formation energy -0.312 eV/atom. Number 4: raw total energy -77.5 eV/f.u., magnetic moment 3.87 μB/cell, calculated formation energy -0.939 eV/atom. Number 5: raw total energy -59.8 eV/f.u., magnetic moment 3.61 μB/cell, calculated formation energy -1.368 eV/atom. Number 6: raw total energy -59.8 eV/f.u., magnetic moment 3.63 μB/cell, calculated formation energy -1.373 eV/atom. Number 7: raw total energy -51.4 eV/f.u., magnetic moment 2.00 μB/cell, calculated formation energy -1.089 eV/atom. Number 8: raw total energy -59.7 eV/f.u., magnetic moment 3.64 μB/cell, calculated formation energy -1.391 eV/atom. Number 9: raw total energy -59.6 eV/f.u., magnetic moment 3.58 μB/cell, calculated formation energy -1.373 eV/atom. Number 10: raw total energy -59.4 eV/f.u., magnetic moment 3.65 μB/cell, calculated formation energy -1.383 eV/atom. Number 11: raw total energy -65.2 eV/f.u., magnetic moment 5.85 μB/cell, calculated formation energy -1.226 eV/atom. Number 12: raw total energy -70.4 eV/f.u., magnetic moment 8.21 μB/cell, calculated formation energy -1.057 eV/atom.